Here is a relaxed Rb2SbSeI crystal from Alexandria. Energies are from PBE-GGA. Values from VASP.

Structure (Quantum ESPRESSO input):
```
&SYSTEM
  ibrav = 0, nat = 5, ntyp = 4
/
ATOMIC_SPECIES
Rb 85.47 Rb.upf
I 126.90 I.upf
Sb 121.76 Sb.upf
Se 78.96 Se.upf
ATOMIC_POSITIONS angstrom
Rb -3.3341 0.2575 0.6051
Rb -0.6572 -1.1953 -3.1126
I 0.0000 0.0000 0.0000
Sb -0.0200 -2.7516 1.0609
Se -4.0113 -3.6894 -1.4467
CELL_PARAMETERS angstrom
-1.3144 -2.3906 -6.2252
-0.0400 -5.5032 2.1217
-6.6683 0.5150 1.2101
```

## Properties
The raw formation energy comes out at -0.14 eV/atom. As for the density: 3.04 g cm⁻³. As for the symmetry: No. 123. As for the magnetic moment: 1.82 Bohr magnetons per cell. The final energy is -2.3574 eV/atom.